# Cd2CoCl | Alexandria via LeMat-Bulk | PBE-GGA | optimized geometry
data_Cd2CoCl
_chemical_formula_sum 'Cd4 Co2 Cl2'
_cell_length_a 2.949
_cell_length_b 4.016
_cell_length_c 13.621
_cell_angle_alpha 90.00
_cell_angle_beta 90.00
_cell_angle_gamma 90.00
_symmetry_space_group_name_H-M 'I m m m'
_symmetry_Int_Tables_number 71
_symmetry_space_group_name_Hall '-I 2 2'
loop_
_atom_site_label
_atom_site_type_symbol
_atom_site_fract_x
_atom_site_fract_y
_atom_site_fract_z
Cd1 Cd 0.000 0.000 0.181
Co1 Co 0.000 0.500 0.500
Cl1 Cl 0.000 0.500 0.000
# - mass density (g cm⁻³) = 6.571
# - ΔE to the lowest computed polymorph (meV/atom) = 185.8
# - VASP energy (eV/atom) = -2.518

---

# Cd2CoCl | Alexandria via LeMat-Bulk | PBE-GGA | optimized geometry
data_Cd2CoCl
_chemical_formula_sum 'Cd4 Co2 Cl2'
_cell_length_a 3.963
_cell_length_b 3.963
_cell_length_c 10.258
_cell_angle_alpha 90.00
_cell_angle_beta 90.00
_cell_angle_gamma 90.00
_symmetry_space_group_name_H-M 'I -4 m 2'
_symmetry_Int_Tables_number 119
_symmetry_space_group_name_Hall 'I -4 -2'
loop_
_atom_site_label
_atom_site_type_symbol
_atom_site_fract_x
_atom_site_fract_y
_atom_site_fract_z
Cd1 Cd 0.000 0.000 0.000
Cd2 Cd 0.000 0.500 0.250
Co1 Co 0.000 0.000 0.500
Cl1 Cl 0.000 0.500 0.750
# - mass density (g cm⁻³) = 6.581
# - ΔE to the lowest computed polymorph (meV/atom) = 364.3
# - VASP energy (eV/atom) = -2.340

---

# CdCo2Cl | Alexandria via LeMat-Bulk | PBE-GGA | optimized geometry
data_CdCo2Cl
_chemical_formula_sum 'Cd3 Co6 Cl3'
_cell_length_a 3.2065
_cell_length_b 3.2065
_cell_length_c 23.4534
_cell_angle_alpha 90.00
_cell_angle_beta 90.00
_cell_angle_gamma 120.00
_symmetry_space_group_name_H-M 'R 3 m'
_symmetry_Int_Tables_number 160
_symmetry_space_group_name_Hall 'R 3 -2"'
loop_
_atom_site_label
_atom_site_type_symbol
_atom_site_fract_x
_atom_site_fract_y
_atom_site_fract_z
Cd1 Cd 0.0000 0.0000 0.0000
Co1 Co 0.0000 0.0000 0.4795
Co2 Co 0.0000 0.0000 0.7560
Cl1 Cl 0.0000 0.0000 0.2161
# - mass density (g cm⁻³) = 6.339
# - ΔE to the lowest computed polymorph (meV/atom) = 78.0
# - VASP energy (eV/atom) = -4.052

---

# Cd2CoCl6 | Alexandria via LeMat-Bulk | PBE-GGA | optimized geometry
data_Cd2CoCl6
_chemical_formula_sum 'Cd8 Co4 Cl24'
_cell_length_a 14.153
_cell_length_b 14.467
_cell_length_c 6.622
_cell_angle_alpha 90.00
_cell_angle_beta 115.55
_cell_angle_gamma 90.00
_symmetry_space_group_name_H-M 'C 1 2/c 1'
_symmetry_Int_Tables_number 15
_symmetry_space_group_name_Hall '-C 2yc'
loop_
_atom_site_label
_atom_site_type_symbol
_atom_site_fract_x
_atom_site_fract_y
_atom_site_fract_z
Cd1 Cd 0.230 0.085 0.414
Co1 Co 0.000 0.281 0.250
Cl1 Cl 0.093 0.369 0.554
Cl2 Cl 0.104 0.197 0.140
Cl3 Cl 0.202 0.078 0.761
# - mass density (g cm⁻³) = 2.696
# - VASP energy (eV/atom) = -3.099

---

# Cd2CoCl | Alexandria via LeMat-Bulk | PBE-GGA | optimized geometry
data_Cd2CoCl
_chemical_formula_sum 'Cd2 Co1 Cl1'
_cell_length_a 3.606
_cell_length_b 3.606
_cell_length_c 7.183
_cell_angle_alpha 90.00
_cell_angle_beta 90.00
_cell_angle_gamma 90.00
_symmetry_space_group_name_H-M 'P 4 m m'
_symmetry_Int_Tables_number 99
_symmetry_space_group_name_Hall 'P 4 -2'
loop_
_atom_site_label
_atom_site_type_symbol
_atom_site_fract_x
_atom_site_fract_y
_atom_site_fract_z
Cd1 Cd 0.000 0.000 0.000
Cd2 Cd 0.500 0.500 0.300
Co1 Co 0.500 0.500 0.940
Cl1 Cl 0.000 0.000 0.493
# - mass density (g cm⁻³) = 5.674
# - ΔE to the lowest computed polymorph (meV/atom) = 223.2
# - VASP energy (eV/atom) = -2.481

---

# Cd2CoCl | Alexandria via LeMat-Bulk | PBE-GGA | optimized geometry
data_Cd2CoCl
_chemical_formula_sum 'Cd8 Co4 Cl4'
_cell_length_a 6.917
_cell_length_b 6.917
_cell_length_c 6.917
_cell_angle_alpha 90.00
_cell_angle_beta 90.00
_cell_angle_gamma 90.00
_symmetry_space_group_name_H-M 'F m -3 m'
_symmetry_Int_Tables_number 225
_symmetry_space_group_name_Hall '-F 4 2 3'
loop_
_atom_site_label
_atom_site_type_symbol
_atom_site_fract_x
_atom_site_fract_y
_atom_site_fract_z
Cd1 Cd 0.250 0.250 0.250
Co1 Co 0.000 0.000 0.000
Cl1 Cl 0.000 0.000 0.500
# - mass density (g cm⁻³) = 6.408
# - ΔE to the lowest computed polymorph (meV/atom) = 552.5
# - VASP energy (eV/atom) = -2.151